(1)
This record from Alexandria describes a geometry-optimized LaPmPrDy3 structure. The functional is PBE.

Unit cell a=20.2179 b=5.6736 c=7.0979 alpha=90.00 beta=90.15 gamma=90.00
With the nearest neighbours (Å) after each atom.
Space group C2/m (No. 12)
Unique sites:
La 0.1467 0.0000 0.0392 (multiplicity 4)  1 Pm 3.02, 2 Dy 3.24-3.36
Pm 0.1486 0.0000 0.4649 (multiplicity 4)  1 La 3.02, 2 Dy 3.22-3.33
Pr 0.0547 0.5000 0.2581 (multiplicity 4)  3 Dy 3.25-3.37
Dy 0.0237 0.0000 0.7460 (multiplicity 4)  1 Pm 3.22, 1 La 3.24, 2 Pr 3.25
Dy 0.1648 0.5000 0.7424 (multiplicity 4)  2 Pm 3.47, 2 La 3.55, 4 Dy 3.66-3.76
Dy 0.2212 0.5000 0.2474 (multiplicity 4)  3 Pm 3.33-3.55, 3 La 3.36-3.53, 1 Pr 3.37, 3 Dy 3.66-3.70

Computed properties:
Electronic total energy in eV/cell: -108.881
Calculated formation energy in eV per atom: 0.17
Total magnetization in μB per atom: 0.0000

(2)
This record from Alexandria describes a geometry-optimized TbTmNiSn structure. The functional is PBE.

Unit cell a=7.1711 b=7.1711 c=7.1711 alpha=90.00 beta=90.00 gamma=90.00
With the nearest neighbours (Å) after each atom.
Space group F-43m (No. 216)
Unique sites:
Tb 0.0000 0.0000 0.0000 (multiplicity 4)  4 Sn 3.11, 4 Ni 3.11
Tm 0.0000 0.0000 0.5000 (multiplicity 4)  4 Sn 3.11, 4 Ni 3.11
Ni 0.2500 0.2500 0.2500 (multiplicity 4)  4 Tb 3.11, 4 Tm 3.11
Sn 0.2500 0.2500 0.7500 (multiplicity 4)  4 Tb 3.11, 4 Tm 3.11

Computed properties:
Electronic total energy in eV/cell: -82.628
Calculated formation energy in eV per atom: -0.44
Total magnetization in μB per atom: 0.0000

(3)
This record from Alexandria describes a geometry-optimized AcSm2Sn structure. The functional is PBE.

Unit cell a=3.8526 b=3.8526 c=32.6677 alpha=90.00 beta=90.00 gamma=120.00
With the nearest neighbours (Å) after each atom.
Space group R3m (No. 160, hexagonal axes)
Unique sites:
Ac 0.0000 0.0000 0.0000 (multiplicity 3)  6 Sm 3.81-3.82, 6 Ac 3.85
Sm 0.0000 0.0000 0.2381 (multiplicity 3)  3 Sn 3.22
Sm 0.0000 0.0000 0.4281 (multiplicity 3)  3 Sn 3.23
Sn 0.0000 0.0000 0.8333 (multiplicity 3)  6 Sm 3.22-3.23

Computed properties:
Energy above the most stable polymorph in this dataset in kJ/mol of formula units: 74.1
Electronic total energy in eV/cell: -54.858
Calculated formation energy in eV per atom: -0.18
Total magnetization in μB per atom: 0.0000

(4)
This record from Alexandria describes a geometry-optimized AcSm2Dy2 structure. The functional is PBE.

Unit cell a=6.0230 b=6.0230 c=10.0304 alpha=90.00 beta=90.00 gamma=90.00
With the nearest neighbours (Å) after each atom.
Space group I4/mmm (No. 139)
Unique sites:
Ac 0.0000 0.0000 0.0000 (multiplicity 2)  2 Sm 3.58, 8 Dy 3.92
Sm 0.0000 0.0000 0.3568 (multiplicity 4)  1 Sm 2.87, 4 Dy 3.20
Dy 0.0000 0.5000 0.2500 (multiplicity 4)  4 Sm 3.20

Computed properties:
Electronic total energy in eV/cell: -41.180
Calculated formation energy in eV per atom: 0.43
Total magnetization in μB per atom: 0.0000

(5)
This record from Alexandria describes a geometry-optimized Pr2Sm4Pb3N2 structure. The functional is PBE.

Unit cell a=4.8563 b=4.8563 c=26.2029 alpha=90.00 beta=90.00 gamma=90.00
With the nearest neighbours (Å) after each atom.
Space group I4/mmm (No. 139)
Unique sites:
Pr 0.0000 0.0000 0.1916 (multiplicity 4)  1 N 2.37
Sm 0.0000 0.5000 0.0832 (multiplicity 8)  2 N 2.47
Pb 0.0000 0.0000 0.3231 (multiplicity 4)  5 Pr 3.45-3.46, 4 Sm 3.45
Pb 0.0000 0.0000 0.5000 (multiplicity 2)  8 Sm 3.26
N 0.0000 0.0000 0.1011 (multiplicity 4)  1 Pr 2.37, 4 Sm 2.47

Computed properties:
Electronic total energy in eV/cell: -131.535
ΔE_f (raw) in meV per atom: -869
Total magnetization in μB per atom: 0.0000

(6)
This record from Alexandria describes a geometry-optimized CaGe4 structure. The functional is PBE.

Unit cell a=5.3231 b=5.3231 c=5.3231 alpha=90.00 beta=90.00 gamma=90.00
With the nearest neighbours (Å) after each atom.
Space group Pm-3m (No. 221)
Unique sites:
Ca 0.0000 0.0000 0.0000 (multiplicity 1)  6 Ge 2.66
Ge 0.0000 0.0000 0.5000 (multiplicity 3)  2 Ca 2.66
Ge 0.5000 0.5000 0.5000 (multiplicity 1)  12 Ge 3.76

Computed properties:
Electronic total energy in eV/cell: -14.967
Calculated formation energy in eV per atom: 1.10
Total magnetization in μB per atom: 0.1364

(7)
This record from Alexandria describes a geometry-optimized Er2AlGa8 structure. The functional is PBE.

Unit cell a=4.3917 b=4.3917 c=11.1077 alpha=90.00 beta=90.00 gamma=90.00
With the nearest neighbours (Å) after each atom.
Space group P4/mmm (No. 123)
Unique sites:
Er 0.0000 0.0000 0.1874 (multiplicity 2)  12 Ga 2.99-3.11
Al 0.0000 0.0000 0.5000 (multiplicity 1)  8 Ga 2.63
Ga 0.0000 0.5000 0.0000 (multiplicity 2)  8 Ga 3.00-3.11, 4 Er 3.03
Ga 0.0000 0.5000 0.3699 (multiplicity 4)  2 Al 2.63, 1 Ga 2.89
Ga 0.5000 0.5000 0.1839 (multiplicity 2)  8 Ga 3.00-3.02, 4 Er 3.11

Computed properties:
Electronic total energy in eV/cell: -40.814
Calculated formation energy in eV per atom: -0.34
Total magnetization in μB per atom: 0.0000

(8)
This record from Alexandria describes a geometry-optimized TeIr2Ru structure. The functional is PBE.

Unit cell a=2.8855 b=4.6997 c=4.8023 alpha=90.00 beta=90.00 gamma=90.00
With the nearest neighbours (Å) after each atom.
Space group Pmmm (No. 47)
Unique sites:
Te 0.0000 0.0000 0.0000 (multiplicity 1)  4 Ru 2.76, 4 Ir 2.80, 2 Te 2.89
Ir 0.0000 0.5000 0.5000 (multiplicity 1)  6 Ir 2.76-2.89, 4 Ru 2.80
Ir 0.5000 0.0000 0.5000 (multiplicity 1)  6 Ir 2.76-2.89, 4 Te 2.80
Ru 0.5000 0.5000 0.0000 (multiplicity 1)  4 Te 2.76, 4 Ir 2.80, 2 Ru 2.89

Computed properties:
Electronic total energy in eV/cell: -28.087
ΔE_f (raw) in meV per atom: 513
Total magnetization in μB per atom: 0.0000

(9)
This record from Alexandria describes a geometry-optimized MnBeW structure. The functional is PBE.

Unit cell a=3.6435 b=3.8395 c=10.3749 alpha=90.00 beta=90.00 gamma=90.00
With the nearest neighbours (Å) after each atom.
Space group Fmm2 (No. 42)
Unique sites:
Mn 0.0000 0.0000 0.0000 (multiplicity 4)  4 Be 2.31-2.38
Be 0.0000 0.0000 0.3638 (multiplicity 4)  4 Mn 2.31-2.38, 4 W 2.51-2.58
W 0.0000 0.0000 0.6978 (multiplicity 4)  4 Be 2.51-2.58, 4 W 2.65, 2 Mn 2.74

Computed properties:
Electronic total energy in eV/cell: -102.002
Calculated formation energy in eV per atom: 0.12
Total magnetization in μB per atom: 0.6942

(10)
This record from Alexandria describes a geometry-optimized ZnIn2Si structure. The functional is PBE.

Unit cell a=5.1122 b=5.1122 c=3.2762 alpha=90.00 beta=90.00 gamma=90.00
With the nearest neighbours (Å) after each atom.
Space group P4/mmm (No. 123)
Unique sites:
Zn 0.0000 0.0000 0.0000 (multiplicity 1)  8 In 3.04, 2 Zn 3.28
In 0.0000 0.5000 0.5000 (multiplicity 2)  4 Si 3.04, 4 Zn 3.04, 2 In 3.28
Si 0.5000 0.5000 0.0000 (multiplicity 1)  8 In 3.04, 2 Si 3.28

Computed properties:
Energy above the most stable polymorph in this dataset in kJ/mol of formula units: 47.1
Electronic total energy in eV/cell: -10.964
ΔE_f (raw) in meV per atom: 302
Total magnetization in μB per atom: 0.0000

(11)
This record from Alexandria describes a geometry-optimized NaBr2O structure. The functional is PBE.

Unit cell a=7.1260 b=7.1260 c=7.1260 alpha=90.00 beta=90.00 gamma=90.00
With the nearest neighbours (Å) after each atom.
Space group Fm-3m (No. 225)
Unique sites:
Na 0.0000 0.0000 0.0000 (multiplicity 4)  8 Br 3.09
Br 0.2500 0.2500 0.2500 (multiplicity 8)  4 O 3.09, 4 Na 3.09
O 0.0000 0.0000 0.5000 (multiplicity 4)  8 Br 3.09

Computed properties:
Energy above the most stable polymorph in this dataset in kJ/mol of formula units: 116.9
Electronic total energy in eV/cell: -37.741
ΔE_f (raw) in meV per atom: 47
Total magnetization in μB per atom: 0.7500

(12)
This record from Alexandria describes a geometry-optimized KTl2Zn2 structure. The functional is PBE.

Unit cell a=8.6963 b=8.6963 c=3.5860 alpha=90.00 beta=90.00 gamma=90.00
With the nearest neighbours (Å) after each atom.
Space group P4/mbm (No. 127)
Unique sites:
K 0.0000 0.0000 0.0000 (multiplicity 2)  4 Zn 3.48, 2 K 3.59, 8 Tl 3.69
Tl 0.1700 0.3300 0.5000 (multiplicity 4)  6 Zn 3.11-3.17
Zn 0.1179 0.6179 0.0000 (multiplicity 4)  1 Zn 2.90, 6 Tl 3.11-3.17

Computed properties:
Energy above the most stable polymorph in this dataset in kJ/mol of formula units: 32.1
Electronic total energy in eV/cell: -15.923
Calculated formation energy in eV per atom: 0.08
Total magnetization in μB per atom: 0.0000

Repeat the second record exactly.
This record from Alexandria describes a geometry-optimized TbTmNiSn structure. The functional is PBE.

Unit cell a=7.1711 b=7.1711 c=7.1711 alpha=90.00 beta=90.00 gamma=90.00
With the nearest neighbours (Å) after each atom.
Space group F-43m (No. 216)
Unique sites:
Tb 0.0000 0.0000 0.0000 (multiplicity 4)  4 Sn 3.11, 4 Ni 3.11
Tm 0.0000 0.0000 0.5000 (multiplicity 4)  4 Sn 3.11, 4 Ni 3.11
Ni 0.2500 0.2500 0.2500 (multiplicity 4)  4 Tb 3.11, 4 Tm 3.11
Sn 0.2500 0.2500 0.7500 (multiplicity 4)  4 Tb 3.11, 4 Tm 3.11

Computed properties:
Electronic total energy in eV/cell: -82.628
Calculated formation energy in eV per atom: -0.44
Total magnetization in μB per atom: 0.0000